No. 1
DFT (GGA-PBE) results for an optimized crystal structure of Tm2Th3Sc3.

abc: 4.6976 4.9435 19.8542
angles: 90.00 90.00 90.00
Closest atoms and distances in Å follow each position.
Space group Immm (No. 71)
Inequivalent atoms, fractional coordinates:
Tm (0.0000, 0.0000, 0.2481) [4 per cell]  4 Sc 3.41-3.55, 4 Tm 3.41, 4 Th 3.46-3.49
Th (0.0000, 0.0000, 0.0000) [2 per cell]  8 Sc 3.40-3.41, 4 Th 3.48
Th (0.0000, 0.5000, 0.1237) [4 per cell]  6 Sc 3.40-3.41, 4 Tm 3.46-3.49, 2 Th 3.48
Sc (0.0000, 0.0000, 0.5000) [2 per cell]  8 Th 3.40-3.41, 4 Sc 3.49
Sc (0.0000, 0.5000, 0.3763) [4 per cell]  6 Th 3.40-3.41, 4 Tm 3.41-3.55, 2 Sc 3.49

The crystal system is orthorhombic. The value obtained for the formation energy is 0.03 eV per atom. The value obtained for the total energy is -0.229 hartree per atom.

No. 2
DFT (GGA-PBE) results for an optimized crystal structure of Zn2BO.

abc: 5.1507 5.1507 7.9913
angles: 90.00 90.00 90.00
Closest atoms and distances in Å follow each position.
Space group I-42d (No. 122)
Inequivalent atoms, fractional coordinates:
Zn (0.2270, 0.2500, 0.1250) [8 per cell]  2 O 2.01, 2 B 2.15
B (0.0000, 0.0000, 0.5000) [4 per cell]  4 Zn 2.15
O (0.0000, 0.0000, 0.0000) [4 per cell]  4 Zn 2.01

The crystal system is tetragonal. The value obtained for the total energy is -0.130 hartree per atom.